Pr2ScTl, optimized geometry, DFT PBE; polymorph energy (0 for the lowest one) = 0.105 eV/atom; total DFT energy (no corrections) = -4.618 eV per atom; DFT formation energy = -0.2 eV/f.u.; space group = No. 160; DOS(E_F) = 1.37 states/eV/atom; total magnetic moment = 0.001 μB/atom
1.0
3.586 0.000 0.000
-1.793 3.106 0.000
0.000 0.000 33.453
Pr Sc Tl
6 3 3
Direct
0.000 0.000 0.000
0.000 0.000 0.164
0.333 0.667 0.667
0.333 0.667 0.830
0.667 0.333 0.333
0.667 0.333 0.497
0.000 0.000 0.749
0.333 0.667 0.415
0.667 0.333 0.082
0.000 0.000 0.582
0.333 0.667 0.249
0.667 0.333 0.915